# 1
Computed, not measured: a geometry-optimized Nd2SiNiH structure at the PBE level of DFT.

Computed properties:
The calculation puts the density of states at the Fermi level at 7.155 states/eV per cell. For the total magnetization, the calculation gives 0.000 μB/atom. As for the crystal system: monoclinic.

Cell: 6.1246 4.0683 8.1531 Å, 90.00 107.53 90.00°
Space group P2_1/m (No. 11)
Asymmetric unit:
Nd 0.2197 0.2500 0.4100 [2 per cell]
Nd 0.2433 0.2500 0.9645 [2 per cell]
Si 0.3326 0.7500 0.7063 [2 per cell]
Ni 0.4515 0.7500 0.2424 [2 per cell]
H 0.1734 0.7500 0.1711 [2 per cell]

=====

# 2
Computed, not measured: a geometry-optimized Nd2Si2Ni2H structure at the PBE level of DFT.

Computed properties:
The calculation puts the density of states at the Fermi level at 7.774 states/eV per cell. For the total magnetization, the calculation gives 0.000 μB/atom. As for the crystal system: monoclinic.

Cell: 10.5879 4.0307 7.0242 Å, 90.00 130.53 90.00°
Space group C2/m (No. 12)
Asymmetric unit:
Nd 0.0569 0.0000 0.3237 [4 per cell]
Si 0.1560 0.5000 0.1070 [4 per cell]
Ni 0.2076 0.5000 0.8228 [4 per cell]
H 0.0000 0.5000 0.5000 [2 per cell]

=====

# 3
Computed, not measured: a geometry-optimized Nd2NiSnH structure at the PBE level of DFT.

Computed properties:
The calculation puts the density of states at the Fermi level at 6.229 states/eV per cell. For the total magnetization, the calculation gives 0.000 μB/atom. As for the crystal system: monoclinic.

Cell: 6.3865 4.1904 8.5232 Å, 90.00 107.65 90.00°
Space group P2_1/m (No. 11)
Asymmetric unit:
Nd 0.2325 0.2500 0.4013 [2 per cell]
Nd 0.2439 0.2500 0.9739 [2 per cell]
Ni 0.4231 0.7500 0.2315 [2 per cell]
Sn 0.3097 0.7500 0.7024 [2 per cell]
H 0.1611 0.7500 0.1608 [2 per cell]

=====

# 4
Computed, not measured: a geometry-optimized NdNi2SnH structure at the PBE level of DFT.

Computed properties:
The calculation puts the density of states at the Fermi level at 11.048 states/eV per cell. For the total magnetization, the calculation gives 0.000 μB/atom. As for the crystal system: orthorhombic.

Cell: 4.1738 11.0704 6.8495 Å, 90.00 90.00 90.00°
Space group Cmcm (No. 63)
Asymmetric unit:
Nd 0.0000 0.0706 0.2500 [4 per cell]
Ni 0.0000 0.3545 0.0570 [8 per cell]
Sn 0.0000 0.2142 0.7500 [4 per cell]
H 0.0000 0.5000 0.0000 [4 per cell]

=====

# 5
Computed, not measured: a geometry-optimized NdNiSnH structure at the PBE level of DFT.

Computed properties:
The calculation puts the density of states at the Fermi level at 8.029 states/eV per cell. For the total magnetization, the calculation gives 0.000 μB/atom. As for the crystal system: orthorhombic.

Cell: 7.2511 4.3805 8.5240 Å, 90.00 90.00 90.00°
Space group Pnma (No. 62)
Asymmetric unit:
Nd 0.0133 0.2500 0.1879 [4 per cell]
Ni 0.2207 0.7500 0.3995 [4 per cell]
Sn 0.1563 0.2500 0.5690 [4 per cell]
H 0.0595 0.2500 0.9197 [4 per cell]

=====

# 6
Computed, not measured: a geometry-optimized NdNiSnH2 structure at the PBE level of DFT.

Computed properties:
The calculation puts the density of states at the Fermi level at 4.705 states/eV per cell. For the total magnetization, the calculation gives 0.000 μB/atom. As for the crystal system: hexagonal.

Cell: 4.3873 4.3873 8.5649 Å, 90.00 90.00 120.00°
Space group P6_3/mmc (No. 194)
Asymmetric unit:
Nd 0.0000 0.0000 0.0000 [2 per cell]
Ni 0.3333 0.6667 0.2500 [2 per cell]
Sn 0.3333 0.6667 0.7500 [2 per cell]
H 0.3333 0.6667 0.0631 [4 per cell]

=====

# 7
Computed, not measured: a geometry-optimized NdNiSnH structure at the PBE level of DFT.

Computed properties:
The calculation puts the density of states at the Fermi level at 2.716 states/eV per cell. For the total magnetization, the calculation gives 0.000 μB/atom. As for the crystal system: trigonal.

Cell: 4.3633 4.3633 4.3443 Å, 90.00 90.00 120.00°
Space group P3m1 (No. 156)
Asymmetric unit:
Nd 0.0000 0.0000 0.0000 [1 per cell]
Ni 0.6667 0.3333 0.5745 [1 per cell]
Sn 0.3333 0.6667 0.4911 [1 per cell]
H 0.6667 0.3333 0.9379 [1 per cell]

=====

# 8
Computed, not measured: a geometry-optimized NdZnNi2H structure at the PBE level of DFT.

Computed properties:
The calculation puts the density of states at the Fermi level at 12.392 states/eV per cell. For the total magnetization, the calculation gives 0.000 μB/atom. As for the crystal system: orthorhombic.

Cell: 3.8609 10.3608 7.0173 Å, 90.00 90.00 90.00°
Space group Cmcm (No. 63)
Asymmetric unit:
Nd 0.0000 0.0595 0.2500 [4 per cell]
Zn 0.0000 0.2220 0.7500 [4 per cell]
Ni 0.0000 0.3413 0.0587 [8 per cell]
H 0.0000 0.5000 0.0000 [4 per cell]

=====

no.,E (eV for the cell shown)
1,-54.082
2,-80.150
3,-50.898
4,-103.596
5,-81.332
6,-47.964
7,-20.123
8,-90.712